Crystalline Ce2SmTl2Cd2 at its relaxed geometry, computed with GGA-PBE.

Results
Calculated density ... 9.41 g/cm³
Formation energy ... -137 meV per atom
Energy ... -3.44 eV/atom

abc: 4.8615 4.8615 9.5946
angles: 75.32 75.32 60.00
Fractional coordinates of all 7 atoms:
1 Ce 0.1461 0.1461 0.5617
2 Tl 0.2728 0.2728 0.1816
3 Ce 0.8539 0.8539 0.4383
4 Cd 0.5766 0.5766 0.2703
5 Sm 0.0000 0.0000 0.0000
6 Tl 0.7272 0.7272 0.8184
7 Cd 0.4234 0.4234 0.7297

Crystalline Li4SmIn at its relaxed geometry, computed with GGA-PBE.

Results
Calculated density ... 4.01 g/cm³
Formation energy ... -147 meV per atom
Energy ... -2.67 eV/atom

abc: 5.5543 5.5543 5.5543
angles: 60.00 60.00 60.00
Fractional coordinates of all 6 atoms:
1 Li 0.6262 0.6262 0.6262
2 Li 0.6262 0.6262 0.1214
3 Li 0.1214 0.6262 0.6262
4 Li 0.6262 0.1214 0.6262
5 In 0.0000 0.0000 0.0000
6 Sm 0.2500 0.2500 0.2500

Crystalline PmPdI2 at its relaxed geometry, computed with GGA-PBE.

Results
Calculated density ... 6.15 g/cm³
Energy relative to the elements, uncorrected ... -179 meV/atom
Energy ... -3.44 eV/atom

abc: 4.1196 4.1196 9.5787
angles: 77.58 77.58 60.00
Fractional coordinates of all 4 atoms:
1 Pd 0.5000 0.5000 0.5000
2 Pm 0.0000 0.0000 0.0000
3 I 0.1084 0.1084 0.6748
4 I 0.8916 0.8916 0.3252

Crystalline Y2Hf3Si4 at its relaxed geometry, computed with GGA-PBE.

Results
Calculated density ... 7.73 g/cm³
Energy relative to the elements, uncorrected ... -840 meV/atom
Energy ... -8.00 eV/atom

abc: 7.0665 7.2744 7.2731
angles: 90.00 90.00 108.46
Fractional coordinates of all 18 atoms:
1 Hf 0.7492 0.2526 0.8205
2 Si 0.8701 0.4913 0.1242
3 Si 0.1310 0.9177 0.4671
4 Hf 0.5000 0.5000 0.0000
5 Hf 0.0000 0.5000 0.5000
6 Y 0.9290 0.8096 0.8291
7 Y 0.5710 0.1904 0.3291
8 Y 0.0710 0.1904 0.1709
9 Si 0.6310 0.9177 0.0329
10 Hf 0.7508 0.7474 0.3205
11 Hf 0.2508 0.7474 0.1795
12 Si 0.8690 0.0823 0.5329
13 Si 0.6299 0.5087 0.6242
14 Si 0.3690 0.0823 0.9671
15 Si 0.1299 0.5087 0.8758
16 Hf 0.2492 0.2526 0.6795
17 Si 0.3701 0.4913 0.3758
18 Y 0.4290 0.8096 0.6709

Crystalline Cs2AuBr4 at its relaxed geometry, computed with GGA-PBE.

Results
Calculated density ... 4.11 g/cm³
Energy relative to the elements, uncorrected ... -1111 meV/atom
Relative energy among the computed polymorphs ... 0 kJ/mol of formula units
Energy ... -2.78 eV/atom

abc: 4.9513 7.9890 7.9890
angles: 90.00 90.00 90.00
Fractional coordinates of all 7 atoms:
1 Br 0.0000 0.2309 0.2309
2 Br 0.0000 0.2309 0.7691
3 Br 0.0000 0.7691 0.2309
4 Au 0.0000 0.0000 0.0000
5 Cs 0.5000 0.0000 0.5000
6 Cs 0.5000 0.5000 0.0000
7 Br 0.0000 0.7691 0.7691

Crystalline Pr3Tc2Ge4 at its relaxed geometry, computed with GGA-PBE.

Results
Calculated density ... 7.52 g/cm³
Formation energy ... -588 meV per atom
Energy ... -6.54 eV/atom

abc: 4.4274 6.0808 8.4848
angles: 107.98 90.00 111.35
Fractional coordinates of all 9 atoms:
1 Ge 0.1022 0.2045 0.4066
2 Ge 0.2940 0.5879 0.9192
3 Ge 0.7060 0.4121 0.0808
4 Ge 0.8978 0.7955 0.5934
5 Pr 0.6240 0.2481 0.6997
6 Tc 0.3146 0.6292 0.6404
7 Pr 0.3760 0.7519 0.3003
8 Tc 0.6854 0.3708 0.3596
9 Pr 0.0000 0.0000 0.0000